Entry 1:
Ti3SbH3 | the Alexandria database | PBE | optimized geometry; total magnetic moment = 0.00 μB per atom; space-group type = R-3 (148); electronic total energy = -39.7 eV/f.u.
1.0
2.915 1.683 6.099
-2.915 1.683 6.099
0.000 -3.366 6.099
Ti Sb H
6 2 6
Cartesian
-0.971 -1.675 7.123
-1.936 0.004 11.175
-0.965 1.679 7.123
0.965 -1.679 11.175
1.936 -0.004 7.123
0.971 1.675 11.175
0.000 0.000 3.049
0.000 0.000 15.250
-1.918 0.009 6.918
-0.967 -1.656 11.380
0.951 -1.665 6.918
-0.951 1.665 11.381
0.967 1.656 6.918
1.918 -0.009 11.381

Entry 2:
Ta2MnIn | the Alexandria database | PBE | optimized geometry; DFT formation energy = 0.056 eV per atom; total magnetic moment = 0.00 μB per atom; space-group type = P4/mmm (123)
1.0
2.966 0.000 0.000
0.000 2.966 0.000
0.000 0.000 7.851
Ta Mn In
2 1 1
Cartesian
0.000 0.000 1.576
0.000 0.000 6.275
1.483 1.483 0.000
1.483 1.483 3.926

Entry 3:
POsRh | the Alexandria database | PBE | optimized geometry; DFT formation energy = -0.057 eV per atom; total magnetic moment = 0.00 μB per atom; space-group type = I4mm (107)
1.0
-1.443 1.443 4.863
1.443 -1.443 4.863
1.443 1.443 -4.863
P Os Rh
1 1 1
Cartesian
0.000 0.000 0.000
0.000 0.000 6.145
0.000 0.000 3.340

Entry 4:
Rb2CdSn2 | the Alexandria database | PBE | optimized geometry; DFT formation energy = 0.248 eV per atom; total magnetic moment = 0.00 μB per atom; space-group type = I4/mmm (139)
1.0
-2.585 2.585 7.782
2.585 -2.585 7.782
2.585 2.585 -7.782
Rb Cd Sn
2 1 2
Cartesian
2.585 0.000 3.891
0.000 2.585 3.891
0.000 0.000 0.000
0.000 0.000 6.448
0.000 0.000 9.116

Entry 5:
Dy6CdFe | the Alexandria database | PBE | optimized geometry; DFT formation energy = 0.082 eV per atom; total magnetic moment = 0.00 μB per atom; space-group type = C2/m (12)
1.0
3.921 -5.066 0.000
3.921 5.066 0.000
-1.635 0.000 5.952
Dy Cd Fe
6 1 1
Cartesian
1.814 3.213 4.268
0.751 0.000 5.145
4.392 3.213 1.685
1.814 -3.213 4.268
5.455 0.000 0.807
4.392 -3.213 1.685
3.103 0.000 2.976
0.000 0.000 0.000

Entry 6:
NdY3Th | the Alexandria database | PBE | optimized geometry; DFT formation energy = 0.040 eV per atom; total magnetic moment = 0.00 μB per atom; space-group type = P-1 (2)
1.0
6.332 0.000 0.000
3.158 6.056 0.000
0.027 3.323 8.683
Nd Y Th
2 6 2
Cartesian
2.135 3.616 3.014
7.382 5.763 5.669
1.001 1.397 0.465
4.259 6.348 3.952
5.320 8.556 6.585
4.197 0.823 2.098
5.258 3.031 4.731
8.517 7.982 8.218
4.306 5.261 7.367
5.211 4.118 1.316

Number 6 is which compound?
NdY3Th